(1)
# Sr2PmMgHg6 (GGA-PBE, relaxed)
# energy of formation from the pure elements	-3.10	eV per formula unit
# E_tot	-1.46	eV per atom
# size of the total moment	0.00	μB/f.u.
data_Sr2PmMgHg6
_chemical_formula_sum 'Sr2 Pm1 Mg1 Hg6'
_cell_length_a 5.5145
_cell_length_b 6.8016
_cell_length_c 8.5363
_cell_angle_alpha 69.71
_cell_angle_beta 80.09
_cell_angle_gamma 80.34
_space_group_name_H-M_alt 'P -1'
_space_group_IT_number 2
loop_
_space_group_symop_operation_xyz
'x,y,z'
'-x,-y,-z'
loop_
_atom_site_label
_atom_site_type_symbol
_atom_site_fract_x
_atom_site_fract_y
_atom_site_fract_z
_atom_site_occupancy
Sr1 Sr 0.0923 0.3881 0.2556 1
Pm1 Pm 0.0000 0.0000 0.0000 1
Mg1 Mg 0.5000 0.5000 0.5000 1
Hg1 Hg 0.1770 0.8464 0.3538 1
Hg2 Hg 0.3539 0.9150 0.6830 1
Hg3 Hg 0.4334 0.2944 0.9228 1

(2)
# Ca2ScZnBr (GGA-PBE, relaxed)
# E_tot	-2.36	eV per atom
# size of the total moment	1.47	μB/f.u.
# formation energy (no corrections)	294	meV/atom
data_Ca2ScZnBr
_chemical_formula_sum 'Ca2 Sc1 Zn1 Br1'
_cell_length_a 5.6636
_cell_length_b 5.6636
_cell_length_c 5.7052
_cell_angle_alpha 90.00
_cell_angle_beta 90.00
_cell_angle_gamma 90.00
_space_group_name_H-M_alt 'P 4/m m m'
_space_group_IT_number 123
_space_group_name_Hall '-P 4 2'
loop_
_atom_site_label
_atom_site_type_symbol
_atom_site_fract_x
_atom_site_fract_y
_atom_site_fract_z
_atom_site_occupancy
Ca1 Ca 0.0000 0.5000 0.0000 1
Sc1 Sc 0.0000 0.0000 0.5000 1
Zn1 Zn 0.5000 0.5000 0.0000 1
Br1 Br 0.5000 0.5000 0.5000 1

(3)
# PmDy3Sc2Te6 (GGA-PBE, relaxed)
# E_tot	-5.41	eV per atom
# size of the total moment	0.00	μB/f.u.
# formation energy (no corrections)	-1233	meV/atom
data_PmDy3Sc2Te6
_chemical_formula_sum 'Pm2 Dy6 Sc4 Te12'
_cell_length_a 18.7823
_cell_length_b 4.2984
_cell_length_c 8.6580
_cell_angle_alpha 90.00
_cell_angle_beta 102.75
_cell_angle_gamma 90.00
_space_group_name_H-M_alt 'C 1 2/m 1'
_space_group_IT_number 12
loop_
_space_group_symop_operation_xyz
'x,y,z'
'-x,-y,-z'
'-x,y,-z'
'x,-y,z'
'x+1/2,y+1/2,z'
'-x+1/2,-y+1/2,-z'
'-x+1/2,y+1/2,-z'
'x+1/2,-y+1/2,z'
loop_
_atom_site_label
_atom_site_type_symbol
_atom_site_fract_x
_atom_site_fract_y
_atom_site_fract_z
_atom_site_occupancy
Pm1 Pm 0.0000 0.0000 0.0000 1
Dy1 Dy 0.0000 0.0000 0.5000 1
Dy2 Dy 0.1581 0.5000 0.8321 1
Sc1 Sc 0.1635 0.5000 0.3303 1
Te1 Te 0.0064 0.5000 0.2596 1
Te2 Te 0.1713 0.0000 0.5775 1
Te3 Te 0.1730 0.0000 0.0964 1

(4)
# SmEr3Pd (GGA-PBE, relaxed)
# energy of formation from the pure elements	-0.85	eV per formula unit
# E_tot	-4.89	eV per atom
# size of the total moment	0.00	μB/f.u.
# energy relative to the lowest polymorph listed for this composition	109.5	meV/atom
data_SmEr3Pd
_chemical_formula_sum 'Sm1 Er3 Pd1'
_cell_length_a 5.4237
_cell_length_b 5.4237
_cell_length_c 5.4237
_cell_angle_alpha 90.00
_cell_angle_beta 90.00
_cell_angle_gamma 90.00
_space_group_name_H-M_alt 'P m -3 m'
_space_group_IT_number 221
_space_group_name_Hall '-P 4 2 3'
loop_
_atom_site_label
_atom_site_type_symbol
_atom_site_fract_x
_atom_site_fract_y
_atom_site_fract_z
_atom_site_occupancy
Sm1 Sm 0.0000 0.0000 0.0000 1
Er1 Er 0.0000 0.5000 0.5000 1
Pd1 Pd 0.5000 0.5000 0.5000 1

(5)
# ThPaTc2 (GGA-PBE, relaxed)
# energy of formation from the pure elements	-0.63	eV per formula unit
# E_tot	-9.57	eV per atom
# size of the total moment	0.00	μB/f.u.
# energy relative to the lowest polymorph listed for this composition	0.0	meV/atom
data_ThPaTc2
_chemical_formula_sum 'Th4 Pa4 Tc8'
_cell_length_a 6.4906
_cell_length_b 5.1942
_cell_length_c 10.3085
_cell_angle_alpha 90.00
_cell_angle_beta 90.00
_cell_angle_gamma 90.00
_space_group_name_H-M_alt 'P n m a'
_space_group_IT_number 62
loop_
_space_group_symop_operation_xyz
'x,y,z'
'-x,-y,-z'
'-x+1/2,-y,z+1/2'
'x+1/2,y,-z+1/2'
'x+1/2,-y+1/2,-z+1/2'
'-x+1/2,y+1/2,z+1/2'
'-x,y+1/2,-z'
'x,-y+1/2,z'
loop_
_atom_site_label
_atom_site_type_symbol
_atom_site_fract_x
_atom_site_fract_y
_atom_site_fract_z
_atom_site_occupancy
Th1 Th 0.1783 0.2500 0.1535 1
Pa1 Pa 0.0109 0.7500 0.3742 1
Tc1 Tc 0.0806 0.2500 0.8658 1
Tc2 Tc 0.2299 0.2500 0.4454 1

(6)
# CaIrAu2 (GGA-PBE, relaxed)
# energy of formation from the pure elements	-0.18	eV per formula unit
# E_tot	-4.40	eV per atom
# size of the total moment	0.00	μB/f.u.
data_CaIrAu2
_chemical_formula_sum 'Ca1 Ir1 Au2'
_cell_length_a 3.5931
_cell_length_b 3.5931
_cell_length_c 6.0166
_cell_angle_alpha 90.00
_cell_angle_beta 90.00
_cell_angle_gamma 90.00
_space_group_name_H-M_alt 'P 4 m m'
_space_group_IT_number 99
loop_
_space_group_symop_operation_xyz
'x,y,z'
'-y,x,z'
'-x,-y,z'
'y,-x,z'
'-x,y,z'
'y,x,z'
'x,-y,z'
'-y,-x,z'
loop_
_atom_site_label
_atom_site_type_symbol
_atom_site_fract_x
_atom_site_fract_y
_atom_site_fract_z
_atom_site_occupancy
Ca1 Ca 0.0000 0.0000 0.0000 1
Ir1 Ir 0.5000 0.5000 0.2728 1
Au1 Au 0.0000 0.0000 0.4800 1
Au2 Au 0.5000 0.5000 0.7355 1

(7)
# Y2MgTi (GGA-PBE, relaxed)
# energy of formation from the pure elements	0.28	eV per formula unit
# E_tot	-5.53	eV per atom
# size of the total moment	0.00	μB/f.u.
data_Y2MgTi
_chemical_formula_sum 'Y2 Mg1 Ti1'
_cell_length_a 3.4219
_cell_length_b 3.4219
_cell_length_c 8.8905
_cell_angle_alpha 90.00
_cell_angle_beta 90.00
_cell_angle_gamma 90.00
_space_group_name_H-M_alt 'P 4/m m m'
_space_group_IT_number 123
_space_group_name_Hall '-P 4 2'
loop_
_atom_site_label
_atom_site_type_symbol
_atom_site_fract_x
_atom_site_fract_y
_atom_site_fract_z
_atom_site_occupancy
Y1 Y 0.0000 0.0000 0.2320 1
Mg1 Mg 0.5000 0.5000 0.5000 1
Ti1 Ti 0.5000 0.5000 0.0000 1

(8)
# SrTa2Au (GGA-PBE, relaxed)
# energy of formation from the pure elements	3.05	eV per formula unit
# E_tot	-6.40	eV per atom
# size of the total moment	0.00	μB/f.u.
# energy relative to the lowest polymorph listed for this composition	541.6	meV/atom
data_SrTa2Au
_chemical_formula_sum 'Sr2 Ta4 Au2'
_cell_length_a 5.7379
_cell_length_b 10.4867
_cell_length_c 2.8592
_cell_angle_alpha 90.00
_cell_angle_beta 90.00
_cell_angle_gamma 90.00
_space_group_name_H-M_alt 'C m m m'
_space_group_IT_number 65
_space_group_name_Hall '-C 2 2'
loop_
_atom_site_label
_atom_site_type_symbol
_atom_site_fract_x
_atom_site_fract_y
_atom_site_fract_z
_atom_site_occupancy
Sr1 Sr 0.0000 0.0000 0.0000 1
Ta1 Ta 0.2500 0.2500 0.5000 1
Au1 Au 0.0000 0.5000 0.0000 1

(9)
# Cu2SbOs (GGA-PBE, relaxed)
# E_tot	-5.21	eV per atom
# size of the total moment	0.61	μB/f.u.
# formation energy (no corrections)	675	meV/atom
data_Cu2SbOs
_chemical_formula_sum 'Cu4 Sb2 Os2'
_cell_length_a 2.9133
_cell_length_b 5.0012
_cell_length_c 9.0250
_cell_angle_alpha 90.00
_cell_angle_beta 90.00
_cell_angle_gamma 90.00
_space_group_name_H-M_alt 'C m m m'
_space_group_IT_number 65
_space_group_name_Hall '-C 2 2'
loop_
_atom_site_label
_atom_site_type_symbol
_atom_site_fract_x
_atom_site_fract_y
_atom_site_fract_z
_atom_site_occupancy
Cu1 Cu 0.0000 0.0000 0.2328 1
Sb1 Sb 0.0000 0.5000 0.5000 1
Os1 Os 0.0000 0.5000 0.0000 1

(10)
# Rb2CoHg2 (GGA-PBE, relaxed)
# energy of formation from the pure elements	1.58	eV per formula unit
# E_tot	-1.61	eV per atom
# size of the total moment	1.37	μB/f.u.
data_Rb2CoHg2
_chemical_formula_sum 'Rb4 Co2 Hg4'
_cell_length_a 7.3897
_cell_length_b 7.3897
_cell_length_c 5.9390
_cell_angle_alpha 90.00
_cell_angle_beta 90.00
_cell_angle_gamma 90.00
_space_group_name_H-M_alt 'P 4/m b m'
_space_group_IT_number 127
_space_group_name_Hall '-P 4 2ab'
loop_
_atom_site_label
_atom_site_type_symbol
_atom_site_fract_x
_atom_site_fract_y
_atom_site_fract_z
_atom_site_occupancy
Rb1 Rb 0.1708 0.3292 0.0000 1
Co1 Co 0.0000 0.0000 0.5000 1
Hg1 Hg 0.1684 0.6684 0.5000 1

(11)
# PmSiO2 (GGA-PBE, relaxed)
# E_tot	-6.34	eV per atom
# size of the total moment	0.00	μB/f.u.
# formation energy (no corrections)	-1321	meV/atom
data_PmSiO2
_chemical_formula_sum 'Pm3 Si3 O6'
_cell_length_a 2.9574
_cell_length_b 2.9574
_cell_length_c 21.5833
_cell_angle_alpha 90.00
_cell_angle_beta 90.00
_cell_angle_gamma 120.00
_space_group_name_H-M_alt 'R -3 m'
_space_group_IT_number 166
_space_group_name_Hall '-R 3 2"'
loop_
_atom_site_label
_atom_site_type_symbol
_atom_site_fract_x
_atom_site_fract_y
_atom_site_fract_z
_atom_site_occupancy
Pm1 Pm 0.0000 0.0000 0.0000 1
Si1 Si 0.0000 0.0000 0.5000 1
O1 O 0.0000 0.0000 0.1263 1

(12)
# Pa2Al8Ir (GGA-PBE, relaxed)
# energy of formation from the pure elements	-4.99	eV per formula unit
# E_tot	-5.71	eV per atom
# size of the total moment	0.00	μB/f.u.
data_Pa2Al8Ir
_chemical_formula_sum 'Pa2 Al8 Ir1'
_cell_length_a 4.3188
_cell_length_b 4.3188
_cell_length_c 11.2199
_cell_angle_alpha 90.00
_cell_angle_beta 90.00
_cell_angle_gamma 90.00
_space_group_name_H-M_alt 'P 4/m m m'
_space_group_IT_number 123
_space_group_name_Hall '-P 4 2'
loop_
_atom_site_label
_atom_site_type_symbol
_atom_site_fract_x
_atom_site_fract_y
_atom_site_fract_z
_atom_site_occupancy
Pa1 Pa 0.0000 0.0000 0.1913 1
Al1 Al 0.0000 0.5000 0.0000 1
Al2 Al 0.0000 0.5000 0.3786 1
Al3 Al 0.5000 0.5000 0.1933 1
Ir1 Ir 0.0000 0.0000 0.5000 1

(13)
# KVIn2 (GGA-PBE, relaxed)
# energy of formation from the pure elements	2.37	eV per formula unit
# E_tot	-3.33	eV per atom
# size of the total moment	3.86	μB/f.u.
# energy relative to the lowest polymorph listed for this composition	95.4	meV/atom
data_KVIn2
_chemical_formula_sum 'K4 V4 In8'
_cell_length_a 5.7010
_cell_length_b 5.7010
_cell_length_c 18.9447
_cell_angle_alpha 90.00
_cell_angle_beta 90.00
_cell_angle_gamma 90.00
_space_group_name_H-M_alt 'I -4 2 d'
_space_group_IT_number 122
_space_group_name_Hall 'I -4 2bw'
loop_
_atom_site_label
_atom_site_type_symbol
_atom_site_fract_x
_atom_site_fract_y
_atom_site_fract_z
_atom_site_occupancy
K1 K 0.0000 0.0000 0.0000 1
V1 V 0.0000 0.0000 0.5000 1
In1 In 0.0669 0.2500 0.6250 1

(14)
# K2SrPb2 (GGA-PBE, relaxed)
# energy of formation from the pure elements	-0.25	eV per formula unit
# E_tot	-2.31	eV per atom
# size of the total moment	0.00	μB/f.u.
# energy relative to the lowest polymorph listed for this composition	123.3	meV/atom
data_K2SrPb2
_chemical_formula_sum 'K4 Sr2 Pb4'
_cell_length_a 10.1975
_cell_length_b 10.1975
_cell_length_c 3.7210
_cell_angle_alpha 90.00
_cell_angle_beta 90.00
_cell_angle_gamma 90.00
_space_group_name_H-M_alt 'P 4/m b m'
_space_group_IT_number 127
_space_group_name_Hall '-P 4 2ab'
loop_
_atom_site_label
_atom_site_type_symbol
_atom_site_fract_x
_atom_site_fract_y
_atom_site_fract_z
_atom_site_occupancy
K1 K 0.1194 0.3806 0.0000 1
Sr1 Sr 0.0000 0.0000 0.0000 1
Pb1 Pb 0.1793 0.6793 0.5000 1

(15)
# SeN2Cl (GGA-PBE, relaxed)
# E_tot	-2.96	eV per atom
# size of the total moment	1.49	μB/f.u.
# energy relative to the lowest polymorph listed for this composition	1160.9	meV/atom
# formation energy (no corrections)	2538	meV/atom
data_SeN2Cl
_chemical_formula_sum 'Se4 N8 Cl4'
_cell_length_a 5.8299
_cell_length_b 5.8299
_cell_length_c 5.8299
_cell_angle_alpha 90.00
_cell_angle_beta 90.00
_cell_angle_gamma 90.00
_space_group_name_H-M_alt 'F m -3 m'
_space_group_IT_number 225
_space_group_name_Hall '-F 4 2 3'
loop_
_atom_site_label
_atom_site_type_symbol
_atom_site_fract_x
_atom_site_fract_y
_atom_site_fract_z
_atom_site_occupancy
Se1 Se 0.0000 0.0000 0.0000 1
N1 N 0.2500 0.2500 0.2500 1
Cl1 Cl 0.0000 0.0000 0.5000 1

(16)
# ScTc2Ni (GGA-PBE, relaxed)
# energy of formation from the pure elements	-0.49	eV per formula unit
# E_tot	-8.33	eV per atom
# size of the total moment	0.00	μB/f.u.
# energy relative to the lowest polymorph listed for this composition	0.0	meV/atom
data_ScTc2Ni
_chemical_formula_sum 'Sc1 Tc2 Ni1'
_cell_length_a 3.1433
_cell_length_b 3.1433
_cell_length_c 6.1304
_cell_angle_alpha 90.00
_cell_angle_beta 90.00
_cell_angle_gamma 90.00
_space_group_name_H-M_alt 'P 4 m m'
_space_group_IT_number 99
loop_
_space_group_symop_operation_xyz
'x,y,z'
'-y,x,z'
'-x,-y,z'
'y,-x,z'
'-x,y,z'
'y,x,z'
'x,-y,z'
'-y,-x,z'
loop_
_atom_site_label
_atom_site_type_symbol
_atom_site_fract_x
_atom_site_fract_y
_atom_site_fract_z
_atom_site_occupancy
Sc1 Sc 0.0000 0.0000 0.0000 1
Tc1 Tc 0.0000 0.0000 0.5132 1
Tc2 Tc 0.5000 0.5000 0.2964 1
Ni1 Ni 0.5000 0.5000 0.7569 1

(17)
# YZnIn3 (GGA-PBE, relaxed)
# energy of formation from the pure elements	3.57	eV per formula unit
# E_tot	-2.48	eV per atom
# size of the total moment	0.02	μB/f.u.
# energy relative to the lowest polymorph listed for this composition	584.6	meV/atom
data_YZnIn3
_chemical_formula_sum 'Y1 Zn1 In3'
_cell_length_a 6.0006
_cell_length_b 6.0006
_cell_length_c 6.0006
_cell_angle_alpha 90.00
_cell_angle_beta 90.00
_cell_angle_gamma 90.00
_space_group_name_H-M_alt 'P m -3 m'
_space_group_IT_number 221
_space_group_name_Hall '-P 4 2 3'
loop_
_atom_site_label
_atom_site_type_symbol
_atom_site_fract_x
_atom_site_fract_y
_atom_site_fract_z
_atom_site_occupancy
Y1 Y 0.0000 0.0000 0.0000 1
Zn1 Zn 0.5000 0.5000 0.5000 1
In1 In 0.0000 0.0000 0.5000 1

(18)
# Zr2TeAu (GGA-PBE, relaxed)
# E_tot	-6.22	eV per atom
# size of the total moment	0.00	μB/f.u.
# energy relative to the lowest polymorph listed for this composition	180.2	meV/atom
# formation energy (no corrections)	-338	meV/atom
data_Zr2TeAu
_chemical_formula_sum 'Zr8 Te4 Au4'
_cell_length_a 7.6886
_cell_length_b 7.6886
_cell_length_c 6.3039
_cell_angle_alpha 90.00
_cell_angle_beta 90.00
_cell_angle_gamma 90.00
_space_group_name_H-M_alt 'I -4 2 d'
_space_group_IT_number 122
_space_group_name_Hall 'I -4 2bw'
loop_
_atom_site_label
_atom_site_type_symbol
_atom_site_fract_x
_atom_site_fract_y
_atom_site_fract_z
_atom_site_occupancy
Zr1 Zr 0.2434 0.7500 0.1250 1
Te1 Te 0.0000 0.0000 0.5000 1
Au1 Au 0.0000 0.0000 0.0000 1

Number 1: density 8.75 g/cm³, N(E_F) 5.483 states/eV per cell. Number 2: density 2.45 g/cm³, N(E_F) 9.586 states/eV per cell. Number 3: density 7.25 g/cm³, N(E_F) 15.473 states/eV per cell. Number 4: density 7.90 g/cm³, N(E_F) 7.869 states/eV per cell. Number 5: density 12.60 g/cm³, N(E_F) 14.349 states/eV per cell. Number 6: density 13.39 g/cm³, N(E_F) 4.437 states/eV per cell. Number 7: density 3.99 g/cm³, N(E_F) 4.454 states/eV per cell. Number 8: density 12.48 g/cm³, N(E_F) 9.250 states/eV per cell. Number 9: density 11.09 g/cm³, N(E_F) 4.910 states/eV per cell. Number 10: density 6.46 g/cm³, N(E_F) 12.023 states/eV per cell. Number 11: density 6.25 g/cm³, N(E_F) 3.421 states/eV per cell. Number 12: density 6.90 g/cm³, N(E_F) 7.353 states/eV per cell. Number 13: density 3.45 g/cm³, N(E_F) 14.630 states/eV per cell. Number 14: density 4.98 g/cm³, N(E_F) 6.832 states/eV per cell. Number 15: density 4.77 g/cm³, N(E_F) 9.267 states/eV per cell. Number 16: density 8.22 g/cm³, N(E_F) 4.846 states/eV per cell. Number 17: density 3.83 g/cm³, N(E_F) 6.426 states/eV per cell. Number 18: density 9.04 g/cm³, N(E_F) 14.858 states/eV per cell.